1.
AlAu2I, optimized geometry, DFT GGA-PBE; ΔE to the lowest computed polymorph = 0.00 eV per formula unit; Fermi-level density of states = 0.080 states/eV per atom; uncorrected formation energy = -0.09 eV/f.u.
1.0
-4.946 4.877 -0.678
0.621 -0.336 -6.944
-5.272 -0.899 -3.935
Au I Al
4 2 2
direct
0.375 0.427 0.750
0.573 0.125 0.250
0.875 0.823 0.750
0.177 0.625 0.250
0.000 0.000 0.000
0.750 0.250 0.500
0.250 0.750 0.500
0.500 0.500 0.000


2.
Al2Au2I, optimized geometry, DFT GGA-PBE; ΔE to the lowest computed polymorph = 0.89 eV per formula unit; Fermi-level density of states = 0.367 states/eV per atom; uncorrected formation energy = 0.26 eV/f.u.
1.0
7.871 0.000 0.000
0.000 7.871 0.000
0.000 0.000 3.403
Au I Al
4 2 4
direct
0.867 0.633 0.000
0.367 0.867 0.000
0.633 0.133 0.000
0.133 0.367 0.000
0.500 0.500 0.000
0.000 0.000 0.000
0.154 0.654 0.500
0.846 0.346 0.500
0.346 0.154 0.500
0.654 0.846 0.500


3.
AlAuI3, optimized geometry, DFT GGA-PBE; ΔE to the lowest computed polymorph = 0.00 eV per formula unit; Fermi-level density of states = 0.216 states/eV per atom; uncorrected formation energy = 0.65 eV/f.u.
1.0
5.696 0.000 0.000
0.000 5.696 0.000
0.000 0.000 5.696
I Au Al
3 1 1
direct
0.000 0.500 0.000
0.000 0.000 0.500
0.500 0.000 0.000
0.000 0.000 0.000
0.500 0.500 0.500


4.
AlAu2I6, optimized geometry, DFT GGA-PBE; Fermi-level density of states = 0.520 states/eV per atom; uncorrected formation energy = -1.98 eV/f.u.
1.0
-4.755 2.447 4.751
-3.688 -7.164 -0.002
8.087 -4.166 8.008
Au I Al
4 12 2
direct
0.956 0.658 0.860
0.456 0.842 0.360
0.544 0.158 0.640
0.044 0.342 0.140
0.285 0.798 0.574
0.297 0.782 0.924
0.715 0.202 0.426
0.350 0.523 0.213
0.797 0.718 0.424
0.650 0.477 0.787
0.203 0.282 0.576
0.150 0.023 0.287
0.850 0.977 0.713
0.703 0.218 0.076
0.215 0.298 0.926
0.785 0.702 0.074
0.000 0.000 0.500
0.500 0.500 0.000


5.
AlAuI2, optimized geometry, DFT GGA-PBE; ΔE to the lowest computed polymorph = 0.00 eV per formula unit; Fermi-level density of states = 0.000 states/eV per atom; uncorrected formation energy = 0.52 eV/f.u.
1.0
7.996 0.000 0.000
0.000 7.996 0.000
3.998 3.998 4.313
I Al Au
4 2 2
direct
0.375 0.339 0.750
0.661 0.125 0.250
0.089 0.625 0.250
0.875 0.911 0.750
0.250 0.750 0.500
0.500 0.500 0.000
0.000 0.000 0.000
0.750 0.250 0.500


6.
AlAu2I2, optimized geometry, DFT GGA-PBE; ΔE to the lowest computed polymorph = 0.00 eV per formula unit; Fermi-level density of states = 0.390 states/eV per atom; uncorrected formation energy = 1.07 eV/f.u.
1.0
-0.393 -1.399 -3.478
3.702 -0.693 -0.139
0.005 -10.678 2.253
Al Au I
1 2 2
direct
0.000 0.000 0.000
0.250 0.750 0.500
0.750 0.250 0.500
0.415 0.415 0.170
0.585 0.585 0.830


7.
AlAuI3, optimized geometry, DFT GGA-PBE; ΔE to the lowest computed polymorph = 0.29 eV per formula unit; Fermi-level density of states = 0.404 states/eV per atom; uncorrected formation energy = 0.94 eV/f.u.
1.0
5.541 0.000 0.000
0.000 5.541 0.000
0.000 0.000 5.541
I Al Au
3 1 1
direct
0.500 0.000 0.000
0.000 0.500 0.000
0.000 0.000 0.500
0.000 0.000 0.000
0.500 0.500 0.500


8.
Al2Au2I, optimized geometry, DFT GGA-PBE; ΔE to the lowest computed polymorph = 0.00 eV per formula unit; Fermi-level density of states = 0.295 states/eV per atom; uncorrected formation energy = -0.62 eV/f.u.
1.0
4.476 0.000 0.000
0.000 4.476 0.000
2.238 2.238 5.715
Au Al I
2 2 1
direct
0.367 0.367 0.267
0.633 0.633 0.733
0.250 0.750 0.500
0.750 0.250 0.500
0.000 0.000 0.000


9.
Al3AuI, optimized geometry, DFT GGA-PBE; ΔE to the lowest computed polymorph = 0.00 eV per formula unit; Fermi-level density of states = 0.429 states/eV per atom; uncorrected formation energy = 0.12 eV/f.u.
1.0
5.021 0.000 0.000
0.000 5.021 0.000
0.000 0.000 5.021
Au Al I
1 3 1
direct
0.000 0.000 0.000
0.500 0.000 0.000
0.000 0.500 0.000
0.000 0.000 0.500
0.500 0.500 0.500


10.
AlAuI2, optimized geometry, DFT GGA-PBE; ΔE to the lowest computed polymorph = 0.64 eV per formula unit; Fermi-level density of states = 0.240 states/eV per atom; uncorrected formation energy = 1.16 eV/f.u.
1.0
1.457 -1.685 4.889
1.107 3.576 3.855
-3.353 0.594 4.156
Au Al I
1 1 2
direct
0.500 0.500 0.500
0.000 0.000 0.000
0.750 0.750 0.750
0.250 0.250 0.250


11.
Al2AuI, optimized geometry, DFT GGA-PBE; ΔE to the lowest computed polymorph = 0.00 eV per formula unit; Fermi-level density of states = 0.062 states/eV per atom; uncorrected formation energy = 0.07 eV/f.u.
1.0
-4.719 -4.433 -0.558
2.979 -3.726 4.414
-3.903 -1.394 6.242
Al Au I
4 2 2
direct
0.049 0.625 0.250
0.701 0.125 0.250
0.875 0.951 0.750
0.375 0.299 0.750
0.750 0.250 0.500
0.000 0.000 0.000
0.250 0.750 0.500
0.500 0.500 0.000


12.
AlAuIN2, optimized geometry, DFT GGA-PBE; ΔE to the lowest computed polymorph = 0.00 eV per formula unit; Fermi-level density of states = 0.783 states/eV per atom; uncorrected formation energy = 4.36 eV/f.u.
1.0
3.807 0.000 0.000
0.000 3.807 0.000
0.000 0.000 7.363
Al N Au I
1 2 1 1
direct
0.000 0.000 0.000
0.000 0.500 0.000
0.500 0.000 0.000
0.500 0.500 0.500
0.000 0.000 0.500


Question: Which of these has the highest uncorrected formation energy?
Answer: AlAuIN2


Question: Among the records above, which one has the highest Fermi-level density of states?
Answer: AlAuIN2